# Ba3PmW2N6 (GGA-PBE, optimized geometry)
# Crystal system: trigonal
# Raw formation energy in meV/atom: -820
# Raw total energy in eV per formula unit: -96.21
data_Ba3PmW2N6
_chemical_formula_sum 'Ba3 Pm1 W2 N6'
_cell_length_a 6.3288
_cell_length_b 6.3288
_cell_length_c 7.5015
_cell_angle_alpha 90.00
_cell_angle_beta 90.00
_cell_angle_gamma 120.00
_space_group_name_H-M_alt 'P -3 m 1'
_space_group_IT_number 164
_space_group_name_Hall '-P 3 2"'
loop_
_atom_site_label
_atom_site_type_symbol
_atom_site_fract_x
_atom_site_fract_y
_atom_site_fract_z
_atom_site_occupancy
Ba1 Ba 0.0000 0.0000 0.0000 1
Ba2 Ba 0.3333 0.6667 0.6855 1
Pm1 Pm 0.0000 0.0000 0.5000 1
W1 W 0.3333 0.6667 0.2199 1
N1 N 0.1728 0.3457 0.2925 1